No. 1
An optimized crystal structure of ZrSiO4F. Source: the Alexandria database, functional PBE-GGA.

POSCAR file:
```
ZrSiO4F
1.0
5.623 -0.137 0.062
1.733 5.351 0.062
1.558 1.104 6.102
O Si Zr F
8 2 2 2
Cartesian
1.702 2.728 0.990
3.138 0.702 0.990
6.058 4.294 2.866
5.775 5.615 5.236
7.211 3.589 5.236
4.328 3.068 1.421
4.585 3.250 4.806
2.855 2.023 3.361
3.035 2.151 1.766
5.878 4.166 4.460
5.940 4.210 0.744
2.973 2.107 5.483
0.368 0.261 1.097
8.545 6.056 5.130
```

Computed properties:
Space-group type   C2/m (12)
Raw formation energy   -2744 meV per atom

=====

No. 2
An optimized crystal structure of Li3HfF8. Source: the Alexandria database, functional PBE-GGA.

POSCAR file:
```
Li3HfF8
1.0
-0.121 3.485 -3.674
-1.472 -3.541 -3.310
-4.845 0.989 1.097
F Li Hf
8 3 1
Cartesian
-4.889 0.708 -4.471
-1.549 0.224 -1.416
-2.375 0.195 -5.040
-4.063 0.737 -0.847
-2.313 -1.613 -3.133
-4.827 -1.100 -2.564
-1.612 2.032 -3.323
-4.126 2.545 -2.754
-2.483 2.237 -1.289
-0.796 -0.028 -3.492
-3.159 -1.276 -1.106
0.000 0.000 0.000
```

Computed properties:
Space-group type   Pm-3m (221)
Raw formation energy   -2983 meV per atom

=====

Calculated density, record by record: 3.65, 4.49 Mg/m³
Total moment, record by record: 1.02, 0.47 μB per formula unit